# NiAgF4

Crystalline NiAgF4 at its relaxed geometry (PBE+U, Alexandria via LeMat-Bulk).

* calculated total energy: -85.67 eV per cell

a = 6.4522 Å, b = 6.4522 Å, c = 7.9046 Å
α = 90.00°, β = 90.00°, γ = 90.00°
With the nearest neighbours (Å) after each atom.
Space group I4_1/amd (No. 141, origin choice 2)
Unique sites:
Ni1 0.0000 0.2500 0.3750  4 F 1.95
Ag1 0.0000 0.2500 0.8750  4 F 2.17
F1 0.0000 0.0498 0.6545  1 Ni 1.95, 1 Ag 2.17